[1]
First-principles (PBE) data for Pm2PrDyBi4 after structural relaxation, as listed in the Alexandria database.

Cell: 4.5728 7.9161 7.9132 Å, 70.52 90.00 90.00°
Last column: nearest neighbours and their distance in Å.
Fractional positions:
Dy  0.0000  0.5000  0.5000  6 Bi 3.20
Bi  0.5000  0.7467  0.2559  2 Dy 3.20, 3 Pm 3.21-3.26, 1 Pr 3.25
Bi  0.5000  0.2533  0.7441  2 Dy 3.20, 3 Pm 3.21-3.26, 1 Pr 3.25
Bi  0.0000  0.2498  0.2549  1 Dy 3.20, 3 Pm 3.22-3.26, 2 Pr 3.25
Bi  0.0000  0.7502  0.7451  1 Dy 3.20, 3 Pm 3.22-3.26, 2 Pr 3.25
Pr  0.5000  0.5000  0.0000  6 Bi 3.25
Pm  0.0000  0.0000  0.0000  6 Bi 3.26
Pm  0.5000  0.0000  0.5000  6 Bi 3.21-3.22

Summary:
total moment: 0.0 μB per cell
final energy: -0.19186 hartree per atom
formation enthalpy at 0 K: -0.92 eV/atom


[2]
First-principles (PBE) data for PmPrDy2Bi4 after structural relaxation, as listed in the Alexandria database.

Cell: 4.5480 7.8636 7.8728 Å, 70.51 90.00 90.00°
Last column: nearest neighbours and their distance in Å.
Fractional positions:
Bi  0.0000  0.7595  0.7451  3 Dy 3.17-3.18, 1 Pm 3.24, 2 Pr 3.26
Bi  0.5000  0.7583  0.2490  3 Dy 3.17-3.18, 2 Pm 3.24, 1 Pr 3.26
Bi  0.5000  0.2417  0.7510  3 Dy 3.17-3.18, 2 Pm 3.24, 1 Pr 3.26
Bi  0.0000  0.2405  0.2549  3 Dy 3.17-3.18, 1 Pm 3.24, 2 Pr 3.26
Pm  0.0000  0.5000  0.5000  6 Bi 3.24
Dy  0.0000  0.0000  0.0000  6 Bi 3.18
Dy  0.5000  0.0000  0.5000  6 Bi 3.17
Pr  0.5000  0.5000  0.0000  6 Bi 3.26

Summary:
total moment: 0.0 μB per cell
final energy: -0.19050 hartree per atom
formation enthalpy at 0 K: -0.90 eV/atom


[3]
First-principles (PBE) data for Pm2PrDy3Bi6 after structural relaxation, as listed in the Alexandria database.

Cell: 4.5402 9.0729 10.1425 Å, 102.81 102.93 90.00°
Last column: nearest neighbours and their distance in Å.
Fractional positions:
Dy  0.1662  0.8329  0.3323  6 Bi 3.17-3.18
Dy  0.5000  0.5000  0.0000  6 Bi 3.16-3.18
Dy  0.8338  0.1671  0.6677  6 Bi 3.17-3.18
Bi  0.0012  0.7433  0.0025  3 Dy 3.16-3.18, 1 Pm 3.24, 2 Pr 3.26
Bi  0.6693  0.0800  0.3387  3 Dy 3.17-3.18, 2 Pm 3.24, 1 Pr 3.26
Bi  0.3349  0.4129  0.6698  3 Dy 3.18, 3 Pm 3.23-3.24
Bi  0.9988  0.2567  0.9975  3 Dy 3.16-3.18, 1 Pm 3.24, 2 Pr 3.26
Bi  0.3307  0.9200  0.6613  3 Dy 3.17-3.18, 2 Pm 3.24, 1 Pr 3.26
Bi  0.6651  0.5871  0.3302  3 Dy 3.18, 3 Pm 3.23-3.24
Pm  0.1670  0.3336  0.3339  6 Bi 3.23-3.24
Pm  0.8330  0.6664  0.6661  6 Bi 3.23-3.24
Pr  0.5000  0.0000  0.0000  6 Bi 3.26

Summary:
total moment: 0.0 μB per cell
final energy: -0.19044 hartree per atom
formation enthalpy at 0 K: -0.90 eV/atom